[1]
Here is KAg2Pd after structural relaxation from the Alexandria database. Energies are from PBE-GGA.

Lattice parameters (Å, degrees): 7.0312 5.7800 10.9411 90.00 90.00 90.00
Fractional positions:
K 0.5000 0.7500 0.2064
K 0.0000 0.2500 0.6406
K 0.0000 0.7500 0.3594
K 0.5000 0.2500 0.7936
Ag 0.6893 0.7500 0.9234
Ag 0.0000 0.5000 0.0000
Ag 0.5000 0.5000 0.5000
Ag 0.5000 0.0000 0.5000
Ag 0.0000 0.0000 0.0000
Ag 0.6893 0.2500 0.0766
Ag 0.3107 0.7500 0.9234
Ag 0.3107 0.2500 0.0766
Pd 0.0000 0.2500 0.2241
Pd 0.5000 0.7500 0.7052
Pd 0.5000 0.2500 0.2948
Pd 0.0000 0.7500 0.7759

Results
* space-group type: Pmma
* formation enthalpy at 0 K: 0.1934 eV/atom
* DOS(E_F): 6.2 states/eV per cell


[2]
Here is Tl2SnPb after structural relaxation from the Alexandria database. Energies are from PBE-GGA.

Lattice parameters (Å, degrees): 5.0443 4.8800 4.8800 90.00 90.00 90.00
Fractional positions:
Pb 0.5000 0.5000 0.5000
Tl 0.0000 0.0000 0.5000
Tl 0.0000 0.5000 0.0000
Sn 0.5000 0.0000 0.0000

Results
* space-group type: P4/mmm
* formation enthalpy at 0 K: 0.0191 eV/atom
* DOS(E_F): 1.4 states/eV per cell


[3]
Here is ZrNiCl after structural relaxation from the Alexandria database. Energies are from PBE-GGA.

Lattice parameters (Å, degrees): 4.3683 4.3683 4.3683 60.00 60.00 60.00
Fractional positions:
Cl 0.0000 0.0000 0.0000
Ni 0.5000 0.5000 0.5000
Zr 0.2500 0.2500 0.2500

Results
* E_form (uncorrected): -63 meV/atom
* space-group type: F-43m
* DOS(E_F): 3.0 states/eV per cell